Ba4ErPb3O12 | PBE | optimized geometry

```
data_Ba4ErPb3O12
_symmetry_space_group_name_H-M 'P 1'
_symmetry_Int_Tables_number 1
_cell_length_a 7.554
_cell_length_b 7.554
_cell_length_c 7.554
_cell_angle_alpha 109.47
_cell_angle_beta 109.47
_cell_angle_gamma 109.47
loop_
_symmetry_equiv_pos_as_xyz
'x,y,z'
loop_
_atom_site_label
_atom_site_type_symbol
_atom_site_fract_x
_atom_site_fract_y
_atom_site_fract_z
_atom_site_occupancy
O1 O 0.000 0.747 0.747 1
Ba1 Ba 0.000 0.500 0.000 1
Pb1 Pb 0.500 0.000 0.500 1
Ba2 Ba 0.000 0.000 0.500 1
Ba3 Ba 0.500 0.000 0.000 1
O2 O 0.747 0.747 0.000 1
O3 O 0.250 0.500 0.750 1
O4 O 0.250 0.750 0.500 1
O5 O 0.750 0.500 0.250 1
O6 O 0.747 0.000 0.747 1
Ba4 Ba 0.500 0.500 0.500 1
Pb2 Pb 0.000 0.500 0.500 1
O7 O 0.000 0.253 0.253 1
O8 O 0.253 0.000 0.253 1
O9 O 0.750 0.250 0.500 1
Pb3 Pb 0.500 0.500 0.000 1
O10 O 0.500 0.750 0.250 1
O11 O 0.500 0.250 0.750 1
O12 O 0.253 0.253 0.000 1
Er1 Er 0.000 0.000 0.000 1
```

The space group is Im-3m (229). Its total energy is -6.104 eV per atom. For the raw formation energy, the calculation gives -1.96 eV per atom.

***

SiNi3B | PBE | optimized geometry

```
data_SiNi3B
_symmetry_space_group_name_H-M 'P 1'
_symmetry_Int_Tables_number 1
_cell_length_a 4.133
_cell_length_b 4.133
_cell_length_c 4.133
_cell_angle_alpha 90.00
_cell_angle_beta 90.00
_cell_angle_gamma 90.00
loop_
_symmetry_equiv_pos_as_xyz
'x,y,z'
loop_
_atom_site_label
_atom_site_type_symbol
_atom_site_fract_x
_atom_site_fract_y
_atom_site_fract_z
_atom_site_occupancy
B1 B 0.500 0.500 0.500 1
Ni1 Ni 0.500 0.000 0.000 1
Ni2 Ni 0.000 0.000 0.500 1
Si1 Si 0.000 0.000 0.000 1
Ni3 Ni 0.000 0.500 0.000 1
```

The space group is Pm-3m (221). Its total energy is -4.703 eV per atom. The distance to the lowest polymorph of the same formula is 1563 meV per atom. For the raw formation energy, the calculation gives 1.19 eV per atom.

***

Ac8CdGe2 | PBE | optimized geometry

```
data_Ac8CdGe2
_symmetry_space_group_name_H-M 'P 1'
_symmetry_Int_Tables_number 1
_cell_length_a 5.395
_cell_length_b 7.656
_cell_length_c 10.632
_cell_angle_alpha 102.28
_cell_angle_beta 104.70
_cell_angle_gamma 90.00
loop_
_symmetry_equiv_pos_as_xyz
'x,y,z'
loop_
_atom_site_label
_atom_site_type_symbol
_atom_site_fract_x
_atom_site_fract_y
_atom_site_fract_z
_atom_site_occupancy
Ac1 Ac 0.208 0.340 0.416 1
Ac2 Ac 0.030 0.764 0.059 1
Ac3 Ac 0.591 0.467 0.183 1
Ge1 Ge 0.188 0.749 0.375 1
Ge2 Ge 0.812 0.251 0.625 1
Ac4 Ac 0.409 0.533 0.817 1
Ac5 Ac 0.792 0.660 0.584 1
Cd1 Cd 0.500 0.000 0.000 1
Ac6 Ac 0.667 0.983 0.333 1
Ac7 Ac 0.333 0.017 0.667 1
Ac8 Ac 0.970 0.236 0.941 1
```

The space group is C2/m (12). Its total energy is -4.146 eV per atom. The energy of formation from the pure elements comes out at -235 meV/atom.

***

Rb2YF | PBE | optimized geometry

```
data_Rb2YF
_symmetry_space_group_name_H-M 'P 1'
_symmetry_Int_Tables_number 1
_cell_length_a 6.546
_cell_length_b 6.546
_cell_length_c 6.546
_cell_angle_alpha 60.00
_cell_angle_beta 60.00
_cell_angle_gamma 60.00
loop_
_symmetry_equiv_pos_as_xyz
'x,y,z'
loop_
_atom_site_label
_atom_site_type_symbol
_atom_site_fract_x
_atom_site_fract_y
_atom_site_fract_z
_atom_site_occupancy
Rb1 Rb 0.750 0.750 0.750 1
Rb2 Rb 0.250 0.250 0.250 1
F1 F 0.000 0.000 0.000 1
Y1 Y 0.500 0.500 0.500 1
```

The space group is Fm-3m (225). Its total energy is -2.569 eV per atom. The distance to the lowest polymorph of the same formula is 636 meV per atom. For the raw formation energy, the calculation gives 0.00 eV per atom.

***

Sm3Ho2Tm6Th | PBE | optimized geometry

```
data_Sm3Ho2Tm6Th
_symmetry_space_group_name_H-M 'P 1'
_symmetry_Int_Tables_number 1
_cell_length_a 6.136
_cell_length_b 6.136
_cell_length_c 11.673
_cell_angle_alpha 95.04
_cell_angle_beta 95.04
_cell_angle_gamma 120.00
loop_
_symmetry_equiv_pos_as_xyz
'x,y,z'
loop_
_atom_site_label
_atom_site_type_symbol
_atom_site_fract_x
_atom_site_fract_y
_atom_site_fract_z
_atom_site_occupancy
Tm1 Tm 0.083 0.413 0.248 1
Tm2 Tm 0.753 0.753 0.247 1
Tm3 Tm 0.247 0.247 0.753 1
Tm4 Tm 0.587 0.917 0.752 1
Tm5 Tm 0.917 0.587 0.752 1
Tm6 Tm 0.413 0.083 0.248 1
Sm1 Sm 0.833 0.167 0.500 1
Ho1 Ho 0.333 0.667 0.000 1
Th1 Th 0.000 0.000 0.000 1
Sm2 Sm 0.167 0.833 0.500 1
Sm3 Sm 0.500 0.500 0.500 1
Ho2 Ho 0.667 0.333 0.000 1
```

The space group is C2/m (12). Its total energy is -4.775 eV per atom. The energy of formation from the pure elements comes out at 22 meV/atom.

***

Cd5CuPd2 | PBE | optimized geometry

```
data_Cd5CuPd2
_symmetry_space_group_name_H-M 'P 1'
_symmetry_Int_Tables_number 1
_cell_length_a 4.561
_cell_length_b 4.561
_cell_length_c 18.018
_cell_angle_alpha 90.00
_cell_angle_beta 90.00
_cell_angle_gamma 120.00
loop_
_symmetry_equiv_pos_as_xyz
'x,y,z'
loop_
_atom_site_label
_atom_site_type_symbol
_atom_site_fract_x
_atom_site_fract_y
_atom_site_fract_z
_atom_site_occupancy
Pd1 Pd 0.667 0.333 0.893 1
Cd1 Cd 0.667 0.333 0.049 1
Cd2 Cd 0.667 0.333 0.451 1
Cu1 Cu 0.333 0.667 0.250 1
Pd2 Pd 0.333 0.667 0.393 1
Pd3 Pd 0.667 0.333 0.607 1
Cd3 Cd 0.333 0.667 0.951 1
Cd4 Cd 0.000 0.000 0.842 1
Pd4 Pd 0.333 0.667 0.107 1
Cd5 Cd 0.000 0.000 0.342 1
Cu2 Cu 0.667 0.333 0.750 1
Cd6 Cd 0.333 0.667 0.549 1
Cd7 Cd 0.000 0.000 0.658 1
Cd8 Cd 0.667 0.333 0.250 1
Cd9 Cd 0.333 0.667 0.750 1
Cd10 Cd 0.000 0.000 0.158 1
```

The space group is P6_3/mmc (194). Its total energy is -2.499 eV per atom. The energy of formation from the pure elements comes out at -117 meV/atom.

***

ErPuZnTc | PBE | optimized geometry

```
data_ErPuZnTc
_symmetry_space_group_name_H-M 'P 1'
_symmetry_Int_Tables_number 1
_cell_length_a 4.888
_cell_length_b 4.888
_cell_length_c 4.888
_cell_angle_alpha 60.00
_cell_angle_beta 60.00
_cell_angle_gamma 60.00
loop_
_symmetry_equiv_pos_as_xyz
'x,y,z'
loop_
_atom_site_label
_atom_site_type_symbol
_atom_site_fract_x
_atom_site_fract_y
_atom_site_fract_z
_atom_site_occupancy
Pu1 Pu 0.750 0.750 0.750 1
Er1 Er 0.250 0.250 0.250 1
Tc1 Tc 0.500 0.500 0.500 1
Zn1 Zn 0.000 0.000 0.000 1
```

The space group is F-43m (216). Its total energy is -7.657 eV per atom. The energy of formation from the pure elements comes out at -23 meV/atom.